An optimized crystal structure of Ac2ScVO6, computed with GGA+U.

Summary:
total moment	0.20	μB per atom
SG	P2_1/c (14)
uncorrected energy	-8.3342	eV/atom
Fermi-level density of states	0.00	states/eV/f.u.

Geometry as POSCAR:
```
Ac2ScVO6
1.0
-0.630 4.594 -3.409
-4.612 -2.472 -2.479
-4.878 3.494 5.592
Sc Ac O V
2 4 12 2
Cartesian
-2.306 -1.236 -1.239
-2.754 4.044 1.091
-3.683 1.987 -1.444
-5.684 -1.488 -1.019
-6.437 3.629 1.148
-4.436 7.104 0.723
-8.483 2.161 0.300
-4.187 3.876 -3.033
-6.723 3.574 -1.615
-5.933 1.741 2.737
-3.397 2.043 1.319
-3.685 -0.318 -2.553
-8.820 5.003 0.772
-1.301 0.614 -1.068
-5.721 1.144 -0.134
-4.399 4.473 -0.162
-1.637 3.455 -0.596
-6.435 5.935 2.257
-4.745 0.511 1.556
-0.315 2.297 -1.704
```